Computed, not measured: a relaxed structure of KCdInBi2 at the GGA-PBE level of DFT.

Values from the calculation:
Formation energy from the elements, eV/atom: 0.801
Calculated total energy, hartree per atom: -0.063
Energy above the most stable polymorph in this dataset, meV per atom: 997.0

Geometry as CIF:
```
data_KCdInBi2
_cell_length_a 6.103
_cell_length_b 6.103
_cell_length_c 6.007
_cell_angle_alpha 90.00
_cell_angle_beta 90.00
_cell_angle_gamma 90.00
_space_group_name_H-M_alt 'P 4/m m m'
_space_group_IT_number 123
_space_group_name_Hall '-P 4 2'
loop_
_atom_site_label
_atom_site_fract_x
_atom_site_fract_y
_atom_site_fract_z
K1 0.000 0.000 0.000
Cd1 0.000 0.000 0.500
In1 0.500 0.500 0.500
Bi1 0.000 0.500 0.000
```


Computed, not measured: a relaxed structure of SiAgAu4 at the GGA-PBE level of DFT.

Values from the calculation:
Formation energy (no corrections), eV per atom: 0.306
Calculated total energy, hartree per atom: -0.120
Energy above the most stable polymorph in this dataset, meV per atom: 293.0

Geometry as CIF:
```
data_SiAgAu4
_cell_length_a 7.775
_cell_length_b 7.775
_cell_length_c 7.775
_cell_angle_alpha 90.00
_cell_angle_beta 90.00
_cell_angle_gamma 90.00
_space_group_name_H-M_alt 'F -4 3 m'
_space_group_IT_number 216
_space_group_name_Hall 'F -4 2 3'
loop_
_atom_site_label
_atom_site_fract_x
_atom_site_fract_y
_atom_site_fract_z
Si1 0.000 0.000 0.000
Ag1 0.250 0.250 0.750
Au1 0.125 0.125 0.375
```


Computed, not measured: a relaxed structure of MnBe2V2Fe5 at the GGA-PBE level of DFT.

Values from the calculation:
Formation energy from the elements, eV/atom: -0.019
Calculated total energy, hartree per atom: -0.284

Geometry as CIF:
```
data_MnBe2V2Fe5
_cell_length_a 8.518
_cell_length_b 8.518
_cell_length_c 2.876
_cell_angle_alpha 90.00
_cell_angle_beta 90.00
_cell_angle_gamma 90.00
_space_group_name_H-M_alt 'P 4/m b m'
_space_group_IT_number 127
_space_group_name_Hall '-P 4 2ab'
loop_
_atom_site_label
_atom_site_fract_x
_atom_site_fract_y
_atom_site_fract_z
Mn1 0.000 0.000 0.000
Be1 0.123 0.377 0.000
V1 0.174 0.674 0.000
Fe1 0.000 0.500 0.500
Fe2 0.071 0.206 0.500
```


Computed, not measured: a relaxed structure of DyHo4TmSe8 at the GGA-PBE level of DFT.

Values from the calculation:
Formation energy (no corrections), eV per atom: -1.702
Calculated total energy, hartree per atom: -0.208

Geometry as CIF:
```
data_DyHo4TmSe8
_cell_length_a 8.3745
_cell_length_b 8.3745
_cell_length_c 20.4900
_cell_angle_alpha 90.00
_cell_angle_beta 90.00
_cell_angle_gamma 120.00
_space_group_name_H-M_alt 'R 3 m'
_space_group_IT_number 160
_space_group_name_Hall 'R 3 -2"'
loop_
_atom_site_label
_atom_site_fract_x
_atom_site_fract_y
_atom_site_fract_z
Dy1 0.0000 0.0000 0.0000
Ho1 0.0000 0.0000 0.7507
Ho2 0.9996 0.4998 0.8752
Tm1 0.0000 0.0000 0.3753
Se1 0.0000 0.0000 0.1329
Se2 0.0000 0.0000 0.6183
Se3 0.0217 0.5109 0.1269
Se4 0.1781 0.3561 0.9568
```


Computed, not measured: a relaxed structure of Y3HoTl2 at the GGA-PBE level of DFT.

Values from the calculation:
Formation energy from the elements, eV/atom: -0.296
Calculated total energy, hartree per atom: -0.187
Energy above the most stable polymorph in this dataset, meV per atom: 0.0

Geometry as CIF:
```
data_Y3HoTl2
_cell_length_a 5.087
_cell_length_b 10.003
_cell_length_c 6.822
_cell_angle_alpha 90.00
_cell_angle_beta 90.00
_cell_angle_gamma 90.00
_space_group_name_H-M_alt 'P m c 21'
_space_group_IT_number 26
loop_
_space_group_symop_operation_xyz
'x,y,z'
'-x,-y,z+1/2'
'-x,y,z'
'x,-y,z+1/2'
loop_
_atom_site_label
_atom_site_fract_x
_atom_site_fract_y
_atom_site_fract_z
Y1 0.000 0.042 0.000
Y2 0.000 0.313 0.374
Y3 0.500 0.189 0.720
Ho1 0.500 0.458 0.093
Tl1 0.000 0.367 0.840
Tl2 0.500 0.133 0.255
```


Computed, not measured: a relaxed structure of Ho2PdRu at the GGA-PBE level of DFT.

Values from the calculation:
Formation energy from the elements, eV/atom: -0.334
Calculated total energy, hartree per atom: -0.229

Geometry as CIF:
```
data_Ho2PdRu
_cell_length_a 3.6253
_cell_length_b 3.6253
_cell_length_c 23.2459
_cell_angle_alpha 90.00
_cell_angle_beta 90.00
_cell_angle_gamma 120.00
_space_group_name_H-M_alt 'R -3 m'
_space_group_IT_number 166
_space_group_name_Hall '-R 3 2"'
loop_
_atom_site_label
_atom_site_fract_x
_atom_site_fract_y
_atom_site_fract_z
Ho1 0.0000 0.0000 0.2472
Pd1 0.0000 0.0000 0.0000
Ru1 0.0000 0.0000 0.5000
```


Computed, not measured: a relaxed structure of RbTi2SnMo at the GGA-PBE level of DFT.

Values from the calculation:
Formation energy from the elements, eV/atom: 1.732
Calculated total energy, hartree per atom: -0.169

Geometry as CIF:
```
data_RbTi2SnMo
_cell_length_a 5.279
_cell_length_b 5.279
_cell_length_c 6.347
_cell_angle_alpha 90.00
_cell_angle_beta 90.00
_cell_angle_gamma 90.00
_space_group_name_H-M_alt 'P 4/m m m'
_space_group_IT_number 123
_space_group_name_Hall '-P 4 2'
loop_
_atom_site_label
_atom_site_fract_x
_atom_site_fract_y
_atom_site_fract_z
Rb1 0.000 0.000 0.000
Ti1 0.000 0.500 0.500
Sn1 0.000 0.000 0.500
Mo1 0.500 0.500 0.000
```


Computed, not measured: a relaxed structure of FeHg2RuC at the GGA-PBE level of DFT.

Values from the calculation:
Formation energy from the elements, eV/atom: 2.164
Calculated total energy, hartree per atom: -0.123

Geometry as CIF:
```
data_FeHg2RuC
_cell_length_a 4.999
_cell_length_b 4.999
_cell_length_c 4.280
_cell_angle_alpha 90.00
_cell_angle_beta 90.00
_cell_angle_gamma 90.00
_space_group_name_H-M_alt 'P 4/m m m'
_space_group_IT_number 123
_space_group_name_Hall '-P 4 2'
loop_
_atom_site_label
_atom_site_fract_x
_atom_site_fract_y
_atom_site_fract_z
Fe1 0.000 0.000 0.000
Hg1 0.000 0.500 0.000
Ru1 0.000 0.000 0.500
C1 0.500 0.500 0.500
```


Computed, not measured: a relaxed structure of YPu2Fe2 at the GGA-PBE level of DFT.

Values from the calculation:
Formation energy from the elements, eV/atom: 0.226
Calculated total energy, hartree per atom: -0.374

Geometry as CIF:
```
data_YPu2Fe2
_cell_length_a 3.953
_cell_length_b 10.994
_cell_length_c 20.276
_cell_angle_alpha 90.00
_cell_angle_beta 90.00
_cell_angle_gamma 90.00
_space_group_name_H-M_alt 'F d d d'
_space_group_IT_number 70
loop_
_space_group_symop_operation_xyz
'x,y,z'
'-x,-y,-z'
'-x+1/4,-y+1/4,z'
'x+1/4,y+1/4,-z'
'x,-y+1/4,-z+1/4'
'-x,y+1/4,z+1/4'
'-x+1/4,y,-z+1/4'
'x+1/4,-y,z+1/4'
'x,y+1/2,z+1/2'
'-x,-y+1/2,-z+1/2'
'-x+1/4,-y+3/4,z+1/2'
'x+1/4,y+3/4,-z+1/2'
'x,-y+3/4,-z+3/4'
'-x,y+3/4,z+3/4'
'-x+1/4,y+1/2,-z+3/4'
'x+1/4,-y+1/2,z+3/4'
'x+1/2,y,z+1/2'
'-x+1/2,-y,-z+1/2'
'-x+3/4,-y+1/4,z+1/2'
'x+3/4,y+1/4,-z+1/2'
'x+1/2,-y+1/4,-z+3/4'
'-x+1/2,y+1/4,z+3/4'
'-x+3/4,y,-z+3/4'
'x+3/4,-y,z+3/4'
'x+1/2,y+1/2,z'
'-x+1/2,-y+1/2,-z'
'-x+3/4,-y+3/4,z'
'x+3/4,y+3/4,-z'
'x+1/2,-y+3/4,-z+1/4'
'-x+1/2,y+3/4,z+1/4'
'-x+3/4,y+1/2,-z+1/4'
'x+3/4,-y+1/2,z+1/4'
loop_
_atom_site_label
_atom_site_fract_x
_atom_site_fract_y
_atom_site_fract_z
Y1 0.125 0.125 0.125
Pu1 0.125 0.125 0.486
Fe1 0.125 0.318 0.625
```


Computed, not measured: a relaxed structure of MgSb4Ir at the GGA-PBE level of DFT.

Values from the calculation:
Formation energy (no corrections), eV per atom: 0.792
Calculated total energy, hartree per atom: -0.136

Geometry as CIF:
```
data_MgSb4Ir
_cell_length_a 8.551
_cell_length_b 8.551
_cell_length_c 8.551
_cell_angle_alpha 90.00
_cell_angle_beta 90.00
_cell_angle_gamma 90.00
_space_group_name_H-M_alt 'F -4 3 m'
_space_group_IT_number 216
_space_group_name_Hall 'F -4 2 3'
loop_
_atom_site_label
_atom_site_fract_x
_atom_site_fract_y
_atom_site_fract_z
Mg1 0.000 0.000 0.000
Sb1 0.125 0.125 0.625
Ir1 0.250 0.250 0.250
```


Computed, not measured: a relaxed structure of LuAlZn2 at the GGA-PBE level of DFT.

Values from the calculation:
Formation energy from the elements, eV/atom: -0.283
Calculated total energy, hartree per atom: -0.110
Energy above the most stable polymorph in this dataset, meV per atom: 0.0

Geometry as CIF:
```
data_LuAlZn2
_cell_length_a 4.298
_cell_length_b 4.298
_cell_length_c 3.972
_cell_angle_alpha 90.00
_cell_angle_beta 90.00
_cell_angle_gamma 90.00
_space_group_name_H-M_alt 'P 4/m m m'
_space_group_IT_number 123
_space_group_name_Hall '-P 4 2'
loop_
_atom_site_label
_atom_site_fract_x
_atom_site_fract_y
_atom_site_fract_z
Lu1 0.000 0.000 0.000
Al1 0.500 0.500 0.000
Zn1 0.000 0.500 0.500
```